[1]
A plane-wave DFT calculation with PBE with a Hubbard U was carried out for CoGeN2F after structural relaxation.

a b c (Å): 3.789 3.789 3.834
angles (deg): 90.00 90.00 90.00
Each line ends with the local moment (μB).
Element x y z (fractional)
F  0.000  0.000  0.500  0.01
N  0.000  0.500  0.000  -0.07
N  0.500  0.000  0.000  -0.07
Co  0.500  0.500  0.500  2.65
Ge  0.000  0.000  0.000  0.00

Properties
Spin magnetization (μB/f.u.): 2.50
Density (g/cm3): 5.39
Energy above the most stable polymorph in this dataset (kJ/mol of formula units): 0
Calculated volume (Å³ per cell): 55.1

[2]
A plane-wave DFT calculation with PBE with a Hubbard U was carried out for NbCo2GeF after structural relaxation.

a b c (Å): 3.914 4.821 3.914
angles (deg): 90.00 90.00 90.00
Each line ends with the local moment (μB).
Element x y z (fractional)
F  0.000  0.000  0.000  0.01
Ge  0.000  0.500  0.000  0.04
Co  0.500  0.000  0.000  1.83
Co  0.000  0.000  0.500  2.05
Nb  0.500  0.500  0.500  -0.31

Properties
Energy (eV/cell): -26.3
Spin magnetization (μB/f.u.): 3.46
Density (g/cm3): 6.80
Calculated volume (Å³ per cell): 73.9

[3]
A plane-wave DFT calculation with PBE with a Hubbard U was carried out for CoGeO2F after structural relaxation.

a b c (Å): 3.787 3.787 3.930
angles (deg): 90.00 90.00 90.00
Each line ends with the local moment (μB).
Element x y z (fractional)
Co  0.500  0.500  0.500  2.21
O  0.000  0.500  0.000  0.02
O  0.500  0.000  0.000  0.02
F  0.000  0.000  0.500  0.00
Ge  0.000  0.000  0.000  0.00

Properties
Energy (eV/cell): -26.0
Spin magnetization (μB/f.u.): 2.30
Density (g/cm3): 5.38
Calculated volume (Å³ per cell): 56.4

[4]
A plane-wave DFT calculation with PBE with a Hubbard U was carried out for CoGeOF2 after structural relaxation.

a b c (Å): 4.072 4.072 3.800
angles (deg): 90.00 90.00 90.00
Each line ends with the local moment (μB).
Element x y z (fractional)
F  0.000  0.500  0.000  0.06
F  0.500  0.000  0.000  0.06
Ge  0.500  0.500  0.500  -0.08
O  0.000  0.000  0.500  0.23
Co  0.000  0.000  0.000  2.81

Properties
Spin magnetization (μB/f.u.): 3.02
Density (g/cm3): 4.89
Energy above the most stable polymorph in this dataset (kJ/mol of formula units): 0
Calculated volume (Å³ per cell): 63.0

[5]
A plane-wave DFT calculation with PBE with a Hubbard U was carried out for CoGeOF2 after structural relaxation.

a b c (Å): 4.236 4.236 3.853
angles (deg): 90.00 90.00 90.00
Each line ends with the local moment (μB).
Element x y z (fractional)
F  0.500  0.000  0.000  0.01
F  0.000  0.500  0.000  0.01
Co  0.500  0.500  0.500  2.36
O  0.000  0.000  0.500  0.00
Ge  0.000  0.000  0.000  -0.01

Properties
Spin magnetization (μB/f.u.): 2.44
Density (g/cm3): 4.46
Energy above the most stable polymorph in this dataset (kJ/mol of formula units): 133
Calculated volume (Å³ per cell): 69.1

[6]
A plane-wave DFT calculation with PBE with a Hubbard U was carried out for CoGeO2F after structural relaxation.

a b c (Å): 3.796 3.796 3.959
angles (deg): 90.00 90.00 90.00
Each line ends with the local moment (μB).
Element x y z (fractional)
O  0.000  0.500  0.000  0.08
O  0.500  0.000  0.000  0.08
F  0.000  0.000  0.500  0.04
Ge  0.500  0.500  0.500  0.01
Co  0.000  0.000  0.000  2.36

Properties
Energy (eV/cell): -25.9
Spin magnetization (μB/f.u.): 2.61
Density (g/cm3): 5.31
Calculated volume (Å³ per cell): 57.1